# 1
A geometry-optimized Ni14IrPd structure. Source: the Alexandria database, functional PBE.

Results
space-group type = Amm2 (38)
ΔE_f = 4.5 kJ/mol of atoms
total magnetization = 10.1 μB per cell

```
data_Ni14IrPd
_space_group_name_H-M_alt 'P 1'
_space_group_IT_number 1
_space_group_name_Hall 'P 1'
_cell_length_a 5.0606
_cell_length_b 5.0606
_cell_length_c 8.2514
_cell_angle_alpha 90.00
_cell_angle_beta 90.00
_cell_angle_gamma 119.16
loop_
_atom_site_label
_atom_site_fract_x
_atom_site_fract_y
_atom_site_fract_z
Ni1 0.7066 0.2934 0.0000
Ni2 0.3741 0.6259 0.7530
Ni3 0.8735 0.6213 0.7578
Ni4 0.0439 0.4571 0.5000
Ni5 0.3787 0.1265 0.2422
Ni6 0.3741 0.6259 0.2470
Ni7 0.8735 0.6213 0.2422
Ni8 0.8729 0.1271 0.7579
Ni9 0.3787 0.1265 0.7578
Ni10 0.8729 0.1271 0.2421
Ni11 0.5429 0.9561 0.5000
Ni12 0.2071 0.2947 0.0000
Ni13 0.2069 0.7931 0.0000
Ni14 0.7053 0.7929 0.0000
Pd1 0.0441 0.9559 0.5000
Ir1 0.5446 0.4554 0.5000
```

---

# 2
A geometry-optimized NiIrPd2 structure. Source: the Alexandria database, functional PBE.

Results
space-group type = I-42d (122)
offset from the most stable computed form = 0.454 eV per atom
ΔE_f = 56.6 kJ/mol of atoms
total magnetization = 0.8 μB per cell

```
data_NiIrPd2
_space_group_name_H-M_alt 'P 1'
_space_group_IT_number 1
_space_group_name_Hall 'P 1'
_cell_length_a 6.8625
_cell_length_b 6.8625
_cell_length_c 5.5119
_cell_angle_alpha 51.50
_cell_angle_beta 51.50
_cell_angle_gamma 90.00
loop_
_atom_site_label
_atom_site_fract_x
_atom_site_fract_y
_atom_site_fract_z
Pd1 0.3750 0.3892 0.7500
Pd2 0.8750 0.8608 0.7500
Pd3 0.1392 0.6250 0.2500
Pd4 0.6108 0.1250 0.2500
Ir1 0.7500 0.2500 0.5000
Ir2 0.0000 0.0000 0.0000
Ni1 0.2500 0.7500 0.5000
Ni2 0.5000 0.5000 0.0000
```

---

# 3
A geometry-optimized NiIr2Pd structure. Source: the Alexandria database, functional PBE.

Results
space-group type = Fm-3m (225)
offset from the most stable computed form = 0.290 eV per atom
ΔE_f = 34.3 kJ/mol of atoms
total magnetization = 0.0 μB per cell

```
data_NiIr2Pd
_space_group_name_H-M_alt 'P 1'
_space_group_IT_number 1
_space_group_name_Hall 'P 1'
_cell_length_a 4.2968
_cell_length_b 4.2968
_cell_length_c 4.2968
_cell_angle_alpha 60.00
_cell_angle_beta 60.00
_cell_angle_gamma 60.00
loop_
_atom_site_label
_atom_site_fract_x
_atom_site_fract_y
_atom_site_fract_z
Ir1 0.7500 0.7500 0.7500
Ir2 0.2500 0.2500 0.2500
Pd1 0.5000 0.5000 0.5000
Ni1 0.0000 0.0000 0.0000
```

---

# 4
A geometry-optimized Ni2IrPd structure. Source: the Alexandria database, functional PBE.

Results
space-group type = Pmmm (47)
offset from the most stable computed form = 0.015 eV per atom
ΔE_f = 4.7 kJ/mol of atoms
total magnetization = 0.0 μB per cell

```
data_Ni2IrPd
_space_group_name_H-M_alt 'P 1'
_space_group_IT_number 1
_space_group_name_Hall 'P 1'
_cell_length_a 3.5371
_cell_length_b 2.6967
_cell_length_c 5.4471
_cell_angle_alpha 90.00
_cell_angle_beta 90.00
_cell_angle_gamma 90.00
loop_
_atom_site_label
_atom_site_fract_x
_atom_site_fract_y
_atom_site_fract_z
Ni1 0.0000 0.0000 0.7647
Ni2 0.0000 0.0000 0.2353
Pd1 0.5000 0.5000 0.5000
Ir1 0.5000 0.5000 0.0000
```

---

# 5
A geometry-optimized Ni2IrPd structure. Source: the Alexandria database, functional PBE.

Results
space-group type = R3m (160)
offset from the most stable computed form = 0.030 eV per atom
ΔE_f = 6.2 kJ/mol of atoms
total magnetization = 0.0 μB per cell

```
data_Ni2IrPd
_space_group_name_H-M_alt 'P 1'
_space_group_IT_number 1
_space_group_name_Hall 'P 1'
_cell_length_a 2.6965
_cell_length_b 2.6965
_cell_length_c 8.4888
_cell_angle_alpha 80.86
_cell_angle_beta 80.86
_cell_angle_gamma 60.00
loop_
_atom_site_label
_atom_site_fract_x
_atom_site_fract_y
_atom_site_fract_z
Ni1 0.2477 0.2477 0.2570
Ni2 0.0855 0.0855 0.7435
Pd1 0.6670 0.6670 0.9990
Ir1 0.4998 0.4998 0.5005
```

---

# 6
A geometry-optimized NiIr2Pd structure. Source: the Alexandria database, functional PBE.

Results
space-group type = P4/mmm (123)
offset from the most stable computed form = 0.073 eV per atom
ΔE_f = 13.3 kJ/mol of atoms
total magnetization = 0.0 μB per cell

```
data_NiIr2Pd
_space_group_name_H-M_alt 'P 1'
_space_group_IT_number 1
_space_group_name_Hall 'P 1'
_cell_length_a 3.8121
_cell_length_b 3.8182
_cell_length_c 3.8182
_cell_angle_alpha 90.00
_cell_angle_beta 90.00
_cell_angle_gamma 90.00
loop_
_atom_site_label
_atom_site_fract_x
_atom_site_fract_y
_atom_site_fract_z
Ni1 0.5000 0.5000 0.5000
Pd1 0.5000 0.0000 0.0000
Ir1 0.0000 0.0000 0.5000
Ir2 0.0000 0.5000 0.0000
```

---

# 7
A geometry-optimized Ni2IrPd2 structure. Source: the Alexandria database, functional PBE.

Results
space-group type = P4/mbm (127)
offset from the most stable computed form = 0.000 eV per atom
ΔE_f = 28.7 kJ/mol of atoms
total magnetization = 5.5 μB per cell

```
data_Ni2IrPd2
_space_group_name_H-M_alt 'P 1'
_space_group_IT_number 1
_space_group_name_Hall 'P 1'
_cell_length_a 6.2721
_cell_length_b 6.2721
_cell_length_c 3.5836
_cell_angle_alpha 90.00
_cell_angle_beta 90.00
_cell_angle_gamma 90.00
loop_
_atom_site_label
_atom_site_fract_x
_atom_site_fract_y
_atom_site_fract_z
Ni1 0.8695 0.6305 0.0000
Ni2 0.3695 0.8695 0.0000
Ni3 0.6305 0.1305 0.0000
Ni4 0.1305 0.3695 0.0000
Ir1 0.5000 0.5000 0.0000
Ir2 0.0000 0.0000 0.0000
Pd1 0.1696 0.6696 0.5000
Pd2 0.3304 0.1696 0.5000
Pd3 0.8304 0.3304 0.5000
Pd4 0.6696 0.8304 0.5000
```

---

# 8
A geometry-optimized Ni2IrPd structure. Source: the Alexandria database, functional PBE.

Results
space-group type = R-3m (166)
offset from the most stable computed form = 0.020 eV per atom
ΔE_f = 5.1 kJ/mol of atoms
total magnetization = 1.6 μB per cell

```
data_Ni2IrPd
_space_group_name_H-M_alt 'P 1'
_space_group_IT_number 1
_space_group_name_Hall 'P 1'
_cell_length_a 2.6871
_cell_length_b 2.6871
_cell_length_c 8.5732
_cell_angle_alpha 80.98
_cell_angle_beta 80.98
_cell_angle_gamma 60.00
loop_
_atom_site_label
_atom_site_fract_x
_atom_site_fract_y
_atom_site_fract_z
Ni1 0.2517 0.2517 0.2450
Ni2 0.7483 0.7483 0.7550
Ir1 0.0000 0.0000 0.0000
Pd1 0.5000 0.5000 0.5000
```

---

# 9
A geometry-optimized Ni3IrPd structure. Source: the Alexandria database, functional PBE.

Results
space-group type = C2/m (12)
offset from the most stable computed form = 0.000 eV per atom
ΔE_f = 22.3 kJ/mol of atoms
total magnetization = 1.9 μB per cell

```
data_Ni3IrPd
_space_group_name_H-M_alt 'P 1'
_space_group_IT_number 1
_space_group_name_Hall 'P 1'
_cell_length_a 4.1830
_cell_length_b 5.8179
_cell_length_c 6.2855
_cell_angle_alpha 77.34
_cell_angle_beta 70.56
_cell_angle_gamma 68.93
loop_
_atom_site_label
_atom_site_fract_x
_atom_site_fract_y
_atom_site_fract_z
Ni1 0.9049 0.5049 0.6854
Ni2 0.9343 0.9311 0.2004
Ni3 0.6314 0.8429 0.8944
Ni4 0.0951 0.4951 0.3146
Ni5 0.0657 0.0689 0.7996
Ni6 0.3686 0.1571 0.1056
Ir1 0.7450 0.4002 0.1098
Ir2 0.2550 0.5998 0.8902
Pd1 0.6096 0.2272 0.5536
Pd2 0.3904 0.7728 0.4464
```

---

# 10
A geometry-optimized Ni2IrPd structure. Source: the Alexandria database, functional PBE.

Results
space-group type = P4/mmm (123)
offset from the most stable computed form = 0.000 eV per atom
ΔE_f = 3.3 kJ/mol of atoms
total magnetization = 0.0 μB per cell

```
data_Ni2IrPd
_space_group_name_H-M_alt 'P 1'
_space_group_IT_number 1
_space_group_name_Hall 'P 1'
_cell_length_a 2.6832
_cell_length_b 2.6832
_cell_length_c 7.2227
_cell_angle_alpha 90.00
_cell_angle_beta 90.00
_cell_angle_gamma 90.00
loop_
_atom_site_label
_atom_site_fract_x
_atom_site_fract_y
_atom_site_fract_z
Ni1 0.0000 0.0000 0.7412
Ni2 0.0000 0.0000 0.2588
Pd1 0.5000 0.5000 0.0000
Ir1 0.5000 0.5000 0.5000
```

---

# 11
A geometry-optimized Ni2Ir2Pd structure. Source: the Alexandria database, functional PBE.

Results
space-group type = P4/mbm (127)
ΔE_f = 22.7 kJ/mol of atoms
total magnetization = 4.5 μB per cell

```
data_Ni2Ir2Pd
_space_group_name_H-M_alt 'P 1'
_space_group_IT_number 1
_space_group_name_Hall 'P 1'
_cell_length_a 7.1464
_cell_length_b 7.1464
_cell_length_c 2.6957
_cell_angle_alpha 90.00
_cell_angle_beta 90.00
_cell_angle_gamma 90.00
loop_
_atom_site_label
_atom_site_fract_x
_atom_site_fract_y
_atom_site_fract_z
Ir1 0.8251 0.3251 0.5000
Ir2 0.6749 0.8251 0.5000
Ir3 0.1749 0.6749 0.5000
Ir4 0.3251 0.1749 0.5000
Ni1 0.1203 0.3797 0.0000
Ni2 0.8797 0.6203 0.0000
Ni3 0.6203 0.1203 0.0000
Ni4 0.3797 0.8797 0.0000
Pd1 0.0000 0.0000 0.0000
Pd2 0.5000 0.5000 0.0000
```

---

# 12
A geometry-optimized NiIrPdRh structure. Source: the Alexandria database, functional PBE.

Results
space-group type = F-43m (216)
offset from the most stable computed form = 0.244 eV per atom
ΔE_f = 26.3 kJ/mol of atoms
total magnetization = 0.3 μB per cell

```
data_NiIrPdRh
_space_group_name_H-M_alt 'P 1'
_space_group_IT_number 1
_space_group_name_Hall 'P 1'
_cell_length_a 4.3003
_cell_length_b 4.3003
_cell_length_c 4.3003
_cell_angle_alpha 60.00
_cell_angle_beta 60.00
_cell_angle_gamma 60.00
loop_
_atom_site_label
_atom_site_fract_x
_atom_site_fract_y
_atom_site_fract_z
Rh1 0.5000 0.5000 0.5000
Pd1 0.7500 0.7500 0.7500
Ir1 0.2500 0.2500 0.2500
Ni1 0.0000 0.0000 0.0000
```